# 1
Entry from Alexandria: Th2H2Cl after structural relaxation (GGA-PBE).

a = 8.332 Å, b = 8.332 Å, c = 6.731 Å
α = 128.24°, β = 128.24°, γ = 90.00°
Atoms (fractional coordinates):
Th  0.420  0.659  0.840
Th  0.431  0.170  0.340
Th  0.909  0.170  0.340
Th  0.420  0.181  0.840
H  0.728  0.081  0.456
H  0.625  0.478  0.956
H  0.331  0.478  0.956
H  0.728  0.375  0.456
Cl  0.885  0.885  0.770
Cl  0.135  0.635  0.270

***

# 2
Entry from Alexandria: TiHCl3 after structural relaxation (GGA-PBE).

Values from the calculation:
Excess energy over the best structure of this formula in the dataset in meV per atom: 430

a = 4.824 Å, b = 4.824 Å, c = 4.824 Å
α = 90.00°, β = 90.00°, γ = 90.00°
Last column: magnetic moment on the atom in μB.
Atoms (fractional coordinates):
H  0.500  0.500  0.500  0.38
Cl  0.000  0.500  0.000  0.01
Cl  0.000  0.000  0.500  0.00
Cl  0.500  0.000  0.000  -0.03
Ti  0.000  0.000  0.000  0.92

***

# 3
Entry from Alexandria: Ti2HCl after structural relaxation (GGA-PBE).

Values from the calculation:
Excess energy over the best structure of this formula in the dataset in meV per atom: 0

a = 3.135 Å, b = 4.802 Å, c = 7.619 Å
α = 90.00°, β = 97.35°, γ = 90.00°
Last column: magnetic moment on the atom in μB.
Atoms (fractional coordinates):
Ti  0.637  0.575  0.183  0.26
Ti  0.792  0.618  0.854  0.81
Ti  0.110  0.118  0.362  0.81
Ti  0.265  0.075  0.033  0.26
H  0.155  0.805  0.219  0.00
H  0.747  0.305  0.996  0.00
Cl  0.235  0.935  0.707  0.00
Cl  0.667  0.435  0.509  0.00

***

# 4
Entry from Alexandria: TiHCl3 after structural relaxation (GGA-PBE).

Values from the calculation:
Excess energy over the best structure of this formula in the dataset in meV per atom: 1155

a = 4.369 Å, b = 4.369 Å, c = 4.369 Å
α = 90.00°, β = 90.00°, γ = 90.00°
Last column: magnetic moment on the atom in μB.
Atoms (fractional coordinates):
H  0.000  0.000  0.000  0.01
Cl  0.000  0.500  0.000  -0.03
Cl  0.000  0.000  0.500  -0.02
Cl  0.500  0.000  0.000  -0.02
Ti  0.500  0.500  0.500  1.66

***

# 5
Entry from Alexandria: TiH6Cl12 after structural relaxation (GGA-PBE).

a = 9.361 Å, b = 9.361 Å, c = 9.361 Å
α = 113.26°, β = 113.26°, γ = 113.25°
Last column: magnetic moment on the atom in μB.
Atoms (fractional coordinates):
Ti  0.000  0.000  0.000  -0.07
H  0.182  0.057  0.718  0.00
H  0.943  0.282  0.818  0.00
H  0.282  0.818  0.943  0.00
H  0.818  0.943  0.282  0.00
H  0.057  0.718  0.182  0.00
H  0.718  0.182  0.057  0.00
Cl  0.794  0.256  0.685  0.10
Cl  0.256  0.685  0.794  0.10
Cl  0.685  0.794  0.256  0.10
Cl  0.206  0.744  0.315  0.10
Cl  0.744  0.315  0.206  0.10
Cl  0.315  0.206  0.744  0.10
Cl  0.939  0.816  0.695  0.20
Cl  0.305  0.061  0.184  0.20
Cl  0.184  0.305  0.061  0.20
Cl  0.061  0.184  0.305  0.20
Cl  0.695  0.939  0.816  0.20
Cl  0.816  0.695  0.939  0.20

***

# 6
Entry from Alexandria: TiHCl4 after structural relaxation (GGA-PBE).

a = 6.126 Å, b = 8.058 Å, c = 9.118 Å
α = 102.00°, β = 91.62°, γ = 134.13°
Last column: magnetic moment on the atom in μB.
Atoms (fractional coordinates):
Ti  0.794  0.044  0.088  0.86
Ti  0.206  0.956  0.912  0.86
H  0.392  0.642  0.284  0.00
H  0.608  0.358  0.716  0.00
Cl  0.481  0.106  0.706  -0.01
Cl  0.918  0.818  0.105  -0.01
Cl  0.275  0.400  0.294  -0.01
Cl  0.313  0.713  0.895  -0.01
Cl  0.519  0.894  0.294  -0.01
Cl  0.725  0.600  0.706  -0.01
Cl  0.082  0.182  0.895  -0.01
Cl  0.687  0.287  0.105  -0.01

***

# 7
Entry from Alexandria: Ti2HCl2 after structural relaxation (GGA-PBE).

Values from the calculation:
Excess energy over the best structure of this formula in the dataset in meV per atom: 0

a = 5.980 Å, b = 5.980 Å, c = 4.623 Å
α = 90.00°, β = 90.00°, γ = 90.00°
Last column: magnetic moment on the atom in μB.
Atoms (fractional coordinates):
H  0.000  0.000  0.000  0.00
H  0.500  0.500  0.000  0.00
Cl  0.187  0.687  0.500  -0.01
Cl  0.687  0.813  0.500  -0.01
Cl  0.813  0.313  0.500  -0.01
Cl  0.313  0.187  0.500  -0.01
Ti  0.189  0.689  0.000  0.20
Ti  0.689  0.811  0.000  0.20
Ti  0.811  0.311  0.000  0.20
Ti  0.311  0.189  0.000  0.20

***

# 8
Entry from Alexandria: Ti2HCl2 after structural relaxation (GGA-PBE).

Values from the calculation:
Excess energy over the best structure of this formula in the dataset in meV per atom: 117

a = 4.978 Å, b = 4.978 Å, c = 4.654 Å
α = 57.67°, β = 57.67°, γ = 90.00°
Last column: magnetic moment on the atom in μB.
Atoms (fractional coordinates):
H  0.000  0.000  0.000  -0.01
Cl  0.750  0.250  0.500  0.00
Cl  0.250  0.750  0.500  0.00
Ti  0.328  0.328  0.345  0.21
Ti  0.672  0.672  0.655  0.21

***

| no. | E (eV/atom) |
| --- | --- |
| 1 | -4.9538 |
| 2 | -4.0625 |
| 3 | -5.7843 |
| 4 | -3.3374 |
| 5 | -3.2531 |
| 6 | -4.2973 |
| 7 | -5.0482 |
| 8 | -4.9310 |